# PaPd6Pb

An optimized crystal structure of PaPd6Pb (PBE-GGA, Alexandria via LeMat-Bulk).

```
PaPd6Pb
1.0
-2.9737 2.8537 0.4864
-2.8138 -2.6855 -1.4469
-1.3474 -2.7070 7.6446
Pb Pd Pa
1 6 1
Direct
0.0000 0.0000 0.0000
0.0000 0.5000 0.7398
0.0000 0.5000 0.2602
0.5000 0.0000 0.7398
0.5000 0.5000 0.5000
0.5000 0.0000 0.2602
0.5000 0.5000 0.0000
0.0000 0.0000 0.5000
```

Space-group type: No. 123
ΔH_f (0 K), meV/atom: -560.7
Mass density, Mg/m³: 12.63

***

# ScTa2Re

An optimized crystal structure of ScTa2Re (PBE-GGA, Alexandria via LeMat-Bulk).

```
ScTa2Re
1.0
4.6054 0.0000 0.0000
0.0000 2.8860 0.0022
0.0000 1.0944 5.3767
Ta Re Sc
2 1 1
Direct
0.0000 0.0384 0.0142
0.0000 0.4616 0.4858
0.5000 0.2500 0.2500
0.5000 0.7500 0.7500
```

Distance to the lowest polymorph of the same formula, meV per atom: 73.6
Space-group type: No. 10
ΔH_f (0 K), meV/atom: -22.0
Mass density, Mg/m³: 13.78

***

# YAuSeN2

An optimized crystal structure of YAuSeN2 (PBE-GGA, Alexandria via LeMat-Bulk).

```
YAuSeN2
1.0
-2.2284 -3.2601 1.3500
2.2913 -2.5512 -2.3787
4.0008 -0.7886 4.6996
Se Y N Au
1 1 2 1
Direct
0.0000 0.0000 0.5000
0.0000 0.0000 0.0000
0.5000 0.0000 0.0000
0.0000 0.5000 0.0000
0.5000 0.5000 0.5000
```

Distance to the lowest polymorph of the same formula, meV per atom: 212.5
Space-group type: No. 123
Formation energy (no corrections), eV/f.u.: 5.0
Mass density, Mg/m³: 6.02

***

# CdHRh3

An optimized crystal structure of CdHRh3 (PBE-GGA, Alexandria via LeMat-Bulk).

```
CdHRh3
1.0
2.5372 -1.4648 0.0000
0.0000 2.9297 0.0000
0.0000 0.0000 17.9148
Rh Cd H
6 2 2
Direct
0.3333 0.6667 0.6276
0.6667 0.3333 0.3724
0.3333 0.6667 0.8724
0.0000 0.0000 0.7500
0.6667 0.3333 0.1276
0.0000 0.0000 0.2500
0.0000 0.0000 0.0000
0.0000 0.0000 0.5000
0.6667 0.3333 0.2500
0.3333 0.6667 0.7500
```

Distance to the lowest polymorph of the same formula, meV per atom: 167.3
Space-group type: No. 194
Mass density, Mg/m³: 10.53

***

| no. | raw total energy (eV per formula unit) |
| --- | --- |
| 1 | -48.847 |
| 2 | -42.573 |
| 3 | -24.870 |
| 4 | -25.600 |